(1)
A plane-wave DFT calculation with PBE was carried out for LaSi2BOs after structural relaxation.

Cell: 5.121 5.121 4.295 Å, 90.00 90.00 90.00°
Space group P4/mmm (No. 123)
Unique sites:
La1 0.000 0.000 0.000 (multiplicity 1)
Si1 0.000 0.500 0.000 (multiplicity 2)
B1 0.000 0.000 0.500 (multiplicity 1)
Os1 0.500 0.500 0.500 (multiplicity 1)

Computed properties:
uncorrected formation energy: 2657 meV/atom
uncorrected energy: -20.40 eV for the cell shown
DOS at the Fermi energy: 1.238 states/eV/atom
spin magnetization: 0.0 μB per formula unit

=====

(2)
A plane-wave DFT calculation with PBE was carried out for La2Si2BOs2 after structural relaxation.

Cell: 11.319 4.268 7.344 Å, 90.00 129.57 90.00°
Space group C2/m (No. 12)
Unique sites:
La1 0.065 0.000 0.324 (multiplicity 4)
Si1 0.171 0.500 0.109 (multiplicity 4)
B1 0.000 0.500 0.500 (multiplicity 2)
Os1 0.207 0.500 0.817 (multiplicity 4)

Computed properties:
uncorrected formation energy: -705 meV/atom
uncorrected energy: -109.54 eV for the cell shown
DOS at the Fermi energy: 0.445 states/eV/atom
spin magnetization: 0.0 μB per formula unit

=====

(3)
A plane-wave DFT calculation with PBE was carried out for La2TlBOs after structural relaxation.

Cell: 5.313 5.313 4.288 Å, 90.00 90.00 90.00°
Space group P4/mmm (No. 123)
Unique sites:
La1 0.000 0.500 0.000 (multiplicity 2)
Tl1 0.000 0.000 0.500 (multiplicity 1)
B1 0.000 0.000 0.000 (multiplicity 1)
Os1 0.500 0.500 0.500 (multiplicity 1)

Computed properties:
energy above the most stable polymorph in this dataset: 723 meV/atom
ΔE_f: 552 meV/atom
uncorrected energy: -27.37 eV for the cell shown
DOS at the Fermi energy: 0.932 states/eV/atom
spin magnetization: 0.0 μB per formula unit

=====

(4)
A plane-wave DFT calculation with PBE was carried out for La2TlBOs after structural relaxation.

Cell: 5.495 5.495 4.074 Å, 90.00 90.00 90.00°
Space group P4/mmm (No. 123)
Unique sites:
La1 0.000 0.500 0.000 (multiplicity 2)
Tl1 0.000 0.000 0.500 (multiplicity 1)
B1 0.500 0.500 0.000 (multiplicity 1)
Os1 0.500 0.500 0.500 (multiplicity 1)

Computed properties:
energy above the most stable polymorph in this dataset: 0 meV/atom
ΔE_f: -171 meV/atom
uncorrected energy: -30.98 eV for the cell shown
DOS at the Fermi energy: 0.961 states/eV/atom
spin magnetization: 0.0 μB per formula unit

=====

(5)
A plane-wave DFT calculation with PBE was carried out for LaZrBOs2 after structural relaxation.

Cell: 4.774 4.774 5.273 Å, 90.00 90.00 90.00°
Space group P4/mmm (No. 123)
Unique sites:
La1 0.000 0.000 0.000 (multiplicity 1)
Zr1 0.000 0.000 0.500 (multiplicity 1)
B1 0.500 0.500 0.500 (multiplicity 1)
Os1 0.000 0.500 0.000 (multiplicity 2)

Computed properties:
ΔE_f: 2974 meV/atom
uncorrected energy: -27.74 eV for the cell shown
DOS at the Fermi energy: 1.459 states/eV/atom
spin magnetization: 0.7 μB per formula unit

=====

(6)
A plane-wave DFT calculation with PBE was carried out for LaBP3 after structural relaxation.

Cell: 4.385 4.385 4.385 Å, 90.00 90.00 90.00°
Space group Pm-3m (No. 221)
Unique sites:
La1 0.000 0.000 0.000 (multiplicity 1)
B1 0.500 0.500 0.500 (multiplicity 1)
P1 0.000 0.500 0.500 (multiplicity 3)

Computed properties:
energy above the most stable polymorph in this dataset: 0 meV/atom
ΔE_f: -11 meV/atom
uncorrected energy: -27.89 eV for the cell shown
DOS at the Fermi energy: 0.596 states/eV/atom
spin magnetization: 0.0 μB per formula unit

=====

(7)
A plane-wave DFT calculation with PBE was carried out for La2B2P after structural relaxation.

Cell: 5.453 5.453 3.230 Å, 90.00 90.00 90.00°
Space group P4/mmm (No. 123)
Unique sites:
La1 0.000 0.500 0.000 (multiplicity 2)
B1 0.000 0.000 0.000 (multiplicity 1)
B2 0.000 0.000 0.500 (multiplicity 1)
P1 0.500 0.500 0.500 (multiplicity 1)

Computed properties:
energy above the most stable polymorph in this dataset: 0 meV/atom
ΔE_f: -586 meV/atom
uncorrected energy: -31.55 eV for the cell shown
DOS at the Fermi energy: 0.344 states/eV/atom
spin magnetization: 0.0 μB per formula unit

=====

(8)
A plane-wave DFT calculation with PBE was carried out for La2B2P after structural relaxation.

Cell: 7.862 7.862 3.825 Å, 90.00 90.00 90.00°
Space group P4/mbm (No. 127)
Unique sites:
La1 0.187 0.313 0.000 (multiplicity 4)
B1 0.069 0.569 0.500 (multiplicity 4)
P1 0.000 0.000 0.000 (multiplicity 2)

Computed properties:
energy above the most stable polymorph in this dataset: 529 meV/atom
ΔE_f: -57 meV/atom
uncorrected energy: -57.81 eV for the cell shown
DOS at the Fermi energy: 0.549 states/eV/atom
spin magnetization: 0.0 μB per formula unit

=====

(9)
A plane-wave DFT calculation with PBE was carried out for La2B2P after structural relaxation.

Cell: 3.648 3.648 15.193 Å, 90.00 90.00 90.00°
Space group I4/mmm (No. 139)
Unique sites:
La1 0.000 0.000 0.116 (multiplicity 4)
B1 0.000 0.500 0.250 (multiplicity 4)
P1 0.000 0.000 0.500 (multiplicity 2)

Computed properties:
energy above the most stable polymorph in this dataset: 811 meV/atom
ΔE_f: 225 meV/atom
uncorrected energy: -54.99 eV for the cell shown
DOS at the Fermi energy: 0.831 states/eV/atom
spin magnetization: 1.4 μB per formula unit

=====

(10)
A plane-wave DFT calculation with PBE was carried out for La2BP after structural relaxation.

Cell: 7.074 7.074 7.074 Å, 90.00 90.00 90.00°
Space group Fm-3m (No. 225)
Unique sites:
La1 0.250 0.250 0.250 (multiplicity 8)
B1 0.000 0.000 0.000 (multiplicity 4)
P1 0.000 0.000 0.500 (multiplicity 4)

Computed properties:
energy above the most stable polymorph in this dataset: 21 meV/atom
ΔE_f: -252 meV/atom
uncorrected energy: -91.80 eV for the cell shown
DOS at the Fermi energy: 1.256 states/eV/atom
spin magnetization: 0.8 μB per formula unit

=====

(11)
A plane-wave DFT calculation with PBE was carried out for La2BP after structural relaxation.

Cell: 7.371 7.371 7.614 Å, 90.00 90.00 90.00°
Space group I-42d (No. 122)
Unique sites:
La1 0.224 0.750 0.125 (multiplicity 8)
B1 0.000 0.000 0.000 (multiplicity 4)
P1 0.000 0.000 0.500 (multiplicity 4)

Computed properties:
energy above the most stable polymorph in this dataset: 0 meV/atom
ΔE_f: -272 meV/atom
uncorrected energy: -92.13 eV for the cell shown
DOS at the Fermi energy: 0.971 states/eV/atom
spin magnetization: 0.7 μB per formula unit

=====

(12)
A plane-wave DFT calculation with PBE was carried out for LaBP3 after structural relaxation.

Cell: 5.441 5.441 5.441 Å, 90.00 90.00 90.00°
Space group Pm-3m (No. 221)
Unique sites:
La1 0.000 0.000 0.000 (multiplicity 1)
B1 0.500 0.500 0.500 (multiplicity 1)
P1 0.000 0.000 0.500 (multiplicity 3)

Computed properties:
energy above the most stable polymorph in this dataset: 1809 meV/atom
ΔE_f: 1798 meV/atom
uncorrected energy: -18.85 eV for the cell shown
DOS at the Fermi energy: 0.874 states/eV/atom
spin magnetization: 0.0 μB per formula unit